[1]
A relaxed structure of Hf2ZrZn3, computed with GGA-PBE.

Unit cell a=3.3098 b=3.3098 c=9.9797 alpha=90.00 beta=90.00 gamma=90.00
Closest atoms and distances in Å follow each position.
Space group P4/mmm (No. 123)
Inequivalent atoms, fractional coordinates:
Hf (0.0000, 0.0000, 0.1653) [2 per cell]  8 Zn 2.85-2.86
Zr (0.0000, 0.0000, 0.5000) [1 per cell]  8 Zn 2.90
Zn (0.5000, 0.5000, 0.0000) [1 per cell]  8 Hf 2.86
Zn (0.5000, 0.5000, 0.3282) [2 per cell]  4 Hf 2.85, 4 Zr 2.90

## Properties
Crystal system = tetragonal
Formation energy from the elements = -225 meV per atom
Density = 9.79 g/cm³
Electronic total energy = -33.6 eV per formula unit

=====

[2]
A relaxed structure of HfZr2Zn3, computed with GGA-PBE.

Unit cell a=3.3260 b=3.3260 c=10.0047 alpha=90.00 beta=90.00 gamma=90.00
Closest atoms and distances in Å follow each position.
Space group P4/mmm (No. 123)
Inequivalent atoms, fractional coordinates:
Hf (0.0000, 0.0000, 0.0000) [1 per cell]  8 Zn 2.85
Zr (0.0000, 0.0000, 0.3321) [2 per cell]  8 Zn 2.89-2.91
Zn (0.5000, 0.5000, 0.1616) [2 per cell]  4 Hf 2.85, 4 Zr 2.91
Zn (0.5000, 0.5000, 0.5000) [1 per cell]  8 Zr 2.89

## Properties
Crystal system = tetragonal
Formation energy from the elements = -253 meV per atom
Density = 8.36 g/cm³
Electronic total energy = -32.4 eV per formula unit

=====

[3]
A relaxed structure of Hf2ZrZn9, computed with GGA-PBE.

Unit cell a=5.2292 b=5.2292 c=24.6029 alpha=90.00 beta=90.00 gamma=120.00
Closest atoms and distances in Å follow each position.
Space group R-3m (No. 166, hexagonal axes)
Inequivalent atoms, fractional coordinates:
Hf (0.0000, 0.0000, 0.1415) [6 per cell]  12 Zn 2.96-3.08, 3 Hf 3.26
Zr (0.0000, 0.0000, 0.0000) [3 per cell]  18 Zn 3.02-3.35
Zn (0.0000, 0.0000, 0.3351) [6 per cell]  6 Zn 2.56-2.59
Zn (0.0000, 0.0000, 0.5000) [3 per cell]  6 Zn 2.54
Zn (0.0080, 0.5040, 0.9152) [18 per cell]  7 Zn 2.54-2.68

## Properties
Crystal system = trigonal
Formation energy from the elements = -196 meV per atom
Density = 8.87 g/cm³
Electronic total energy = -42.3 eV per formula unit

=====

[4]
A relaxed structure of HfZr8Zn2, computed with GGA-PBE.

Unit cell a=8.0130 b=13.3431 c=5.0442 alpha=90.00 beta=114.88 gamma=90.00
Closest atoms and distances in Å follow each position.
Space group C2/m (No. 12)
Inequivalent atoms, fractional coordinates:
Hf (0.0000, 0.0000, 0.0000) [2 per cell]  8 Zr 2.91-3.25
Zr (0.0000, 0.2200, 0.0000) [4 per cell]  2 Zn 2.77, 1 Hf 2.93
Zr (0.1022, 0.5000, 0.7996) [4 per cell]  4 Zr 2.77-3.09, 1 Hf 2.91, 2 Zn 2.93
Zr (0.2047, 0.1148, 0.6222) [8 per cell]  2 Zn 2.88-2.96, 5 Zr 2.98-3.21
Zn (0.0000, 0.3062, 0.5000) [4 per cell]  8 Zr 2.77-2.96

## Properties
Crystal system = monoclinic
Formation energy from the elements = 53 meV per atom
Density = 7.05 g/cm³
Electronic total energy = -80.3 eV per formula unit

=====

Number 1: DOS(E_F) 1.1 states/eV per cell. Number 2: DOS(E_F) 0.9 states/eV per cell. Number 3: DOS(E_F) 25.4 states/eV per cell. Number 4: DOS(E_F) 25.8 states/eV per cell.